No. 1
# TlHgGe | Alexandria | PBE-GGA | optimized geometry
# - ΔE to the lowest computed polymorph (meV/atom) = 14.8
# - V (Å³ per cell) = 163.3
# - symmetry = P-1
data_TlHgGe
_space_group_name_H-M_alt 'P 1'
_space_group_IT_number 1
_space_group_name_Hall 'P 1'
_cell_length_a 3.959
_cell_length_b 6.015
_cell_length_c 7.171
_cell_angle_alpha 79.14
_cell_angle_beta 77.58
_cell_angle_gamma 83.44
loop_
_atom_site_label
_atom_site_type_symbol
_atom_site_fract_x
_atom_site_fract_y
_atom_site_fract_z
_atom_site_occupancy
Tl1 Tl 0.108 0.855 0.236 1
Tl2 Tl 0.892 0.145 0.764 1
Hg1 Hg 0.548 0.294 0.389 1
Hg2 Hg 0.452 0.706 0.611 1
Ge1 Ge 0.744 0.638 0.961 1
Ge2 Ge 0.256 0.362 0.039 1



No. 2
# TlHgGe | Alexandria | PBE-GGA | optimized geometry
# - ΔE to the lowest computed polymorph (meV/atom) = 34.5
# - V (Å³ per cell) = 160.7
# - symmetry = P1
data_TlHgGe
_space_group_name_H-M_alt 'P 1'
_space_group_IT_number 1
_space_group_name_Hall 'P 1'
_cell_length_a 3.299
_cell_length_b 6.595
_cell_length_c 8.079
_cell_angle_alpha 70.87
_cell_angle_beta 79.03
_cell_angle_gamma 77.43
loop_
_atom_site_label
_atom_site_type_symbol
_atom_site_fract_x
_atom_site_fract_y
_atom_site_fract_z
_atom_site_occupancy
Tl1 Tl 0.411 0.957 0.090 1
Tl2 Tl 0.625 0.346 0.302 1
Hg1 Hg 0.902 0.310 0.733 1
Hg2 Hg 0.161 0.608 0.920 1
Ge1 Ge 0.176 0.942 0.589 1
Ge2 Ge 0.845 0.712 0.453 1



No. 3
# Tl2HgGe2 | Alexandria | PBE-GGA | optimized geometry
# - ΔE to the lowest computed polymorph (meV/atom) = 125.7
# - V (Å³ per cell) = 140.9
# - symmetry = I4/mmm
data_Tl2HgGe2
_space_group_name_H-M_alt 'P 1'
_space_group_IT_number 1
_space_group_name_Hall 'P 1'
_cell_length_a 5.165
_cell_length_b 5.165
_cell_length_c 6.421
_cell_angle_alpha 66.28
_cell_angle_beta 66.28
_cell_angle_gamma 90.00
loop_
_atom_site_label
_atom_site_type_symbol
_atom_site_fract_x
_atom_site_fract_y
_atom_site_fract_z
_atom_site_occupancy
Tl1 Tl 0.750 0.250 0.500 1
Tl2 Tl 0.250 0.750 0.500 1
Ge1 Ge 0.384 0.384 0.233 1
Ge2 Ge 0.616 0.616 0.767 1
Hg1 Hg 0.000 0.000 0.000 1



No. 4
# Tl2HgGe | Alexandria | PBE-GGA | optimized geometry
# - ΔE to the lowest computed polymorph (meV/atom) = 0.0
# - V (Å³ per cell) = 108.4
# - symmetry = P4/mmm
data_Tl2HgGe
_space_group_name_H-M_alt 'P 1'
_space_group_IT_number 1
_space_group_name_Hall 'P 1'
_cell_length_a 3.396
_cell_length_b 3.396
_cell_length_c 9.399
_cell_angle_alpha 90.00
_cell_angle_beta 90.00
_cell_angle_gamma 90.00
loop_
_atom_site_label
_atom_site_type_symbol
_atom_site_fract_x
_atom_site_fract_y
_atom_site_fract_z
_atom_site_occupancy
Tl1 Tl 0.000 0.000 0.770 1
Tl2 Tl 0.000 0.000 0.230 1
Ge1 Ge 0.500 0.500 0.000 1
Hg1 Hg 0.500 0.500 0.500 1



No. 5
# TlHgGe | Alexandria | PBE-GGA | optimized geometry
# - ΔE to the lowest computed polymorph (meV/atom) = 2.7
# - V (Å³ per cell) = 158.5
# - symmetry = P1
data_TlHgGe
_space_group_name_H-M_alt 'P 1'
_space_group_IT_number 1
_space_group_name_Hall 'P 1'
_cell_length_a 4.210
_cell_length_b 6.356
_cell_length_c 6.676
_cell_angle_alpha 89.96
_cell_angle_beta 108.35
_cell_angle_gamma 109.68
loop_
_atom_site_label
_atom_site_type_symbol
_atom_site_fract_x
_atom_site_fract_y
_atom_site_fract_z
_atom_site_occupancy
Tl1 Tl 0.542 0.984 0.964 1
Tl2 Tl 0.063 0.323 0.667 1
Hg1 Hg 0.378 0.344 0.275 1
Hg2 Hg 0.869 0.573 0.023 1
Ge1 Ge 0.209 0.895 0.397 1
Ge2 Ge 0.730 0.755 0.584 1



No. 6
# TlHgGe | Alexandria | PBE-GGA | optimized geometry
# - ΔE to the lowest computed polymorph (meV/atom) = 21.0
# - V (Å³ per cell) = 163.3
# - symmetry = P-1
data_TlHgGe
_space_group_name_H-M_alt 'P 1'
_space_group_IT_number 1
_space_group_name_Hall 'P 1'
_cell_length_a 4.012
_cell_length_b 5.461
_cell_length_c 8.065
_cell_angle_alpha 84.81
_cell_angle_beta 90.40
_cell_angle_gamma 68.30
loop_
_atom_site_label
_atom_site_type_symbol
_atom_site_fract_x
_atom_site_fract_y
_atom_site_fract_z
_atom_site_occupancy
Tl1 Tl 0.455 0.093 0.773 1
Tl2 Tl 0.545 0.907 0.227 1
Hg1 Hg 0.152 0.699 0.571 1
Hg2 Hg 0.848 0.301 0.429 1
Ge1 Ge 0.818 0.367 0.059 1
Ge2 Ge 0.182 0.633 0.941 1